A relaxed RbRe2WF crystal. Source: the Alexandria database, functional PBE with a Hubbard U.

Geometry as CIF:
```
data_RbRe2WF
_cell_length_a 4.864
_cell_length_b 4.864
_cell_length_c 6.164
_cell_angle_alpha 90.00
_cell_angle_beta 90.00
_cell_angle_gamma 90.00
_space_group_name_H-M_alt 'P 1'
_space_group_IT_number 1
loop_
_space_group_symop_operation_xyz
'x,y,z'
loop_
_atom_site_label
_atom_site_type_symbol
_atom_site_fract_x
_atom_site_fract_y
_atom_site_fract_z
Rb1 Rb 0.000 0.000 0.000
Re1 Re 0.000 0.500 0.000
Re2 Re 0.500 0.000 0.000
W1 W 0.000 0.000 0.500
F1 F 0.500 0.500 0.500
```

## Properties
As for the symmetry: P4/mmm (123). The total energy comes out at -3.21 eV per atom. The value obtained for the density of states at the Fermi level is 0.9614 states/eV/atom.